First-principles (SCAN) data for a crystal of Ca2TaTlCo relaxed with PBEsol, as listed in Alexandria.

a b c (Å): 5.2659 5.5193 5.5193
angles (deg): 90.00 90.00 90.00
With the nearest neighbours (Å) after each atom.
Atoms (fractional coordinates):
Tl 0.5000 0.0000 0.0000  2 Ta 2.63
Co 0.5000 0.5000 0.5000  8 Ca 3.81, 4 Tl 3.90
Ca 0.0000 0.0000 0.5000  2 Ta 2.76
Ca 0.0000 0.5000 0.0000  2 Ta 2.76
Ta 0.0000 0.0000 0.0000  2 Tl 2.63, 4 Ca 2.76

Results
formation enthalpy at 0 K = 1.34 eV/atom
magnetization = 0.7562 μB per atom
total DFT energy (no corrections) = -33.77 eV per atom

***

First-principles (SCAN) data for a crystal of TcIr3 relaxed with PBEsol, as listed in Alexandria.

a b c (Å): 3.8228 3.8228 3.8228
angles (deg): 90.00 90.00 90.00
With the nearest neighbours (Å) after each atom.
Atoms (fractional coordinates):
Ir 0.0000 0.0000 0.5000  4 Tc 2.70, 8 Ir 2.70
Ir 0.0000 0.5000 0.0000  4 Tc 2.70, 8 Ir 2.70
Ir 0.5000 0.0000 0.0000  4 Tc 2.70, 8 Ir 2.70
Tc 0.5000 0.5000 0.5000  12 Ir 2.70

Results
formation enthalpy at 0 K = -0.18 eV/atom
magnetization = 0.0001 μB per atom
total DFT energy (no corrections) = -62.27 eV per atom

***

First-principles (SCAN) data for a crystal of Ba2MnTe relaxed with PBEsol, as listed in Alexandria.

a b c (Å): 5.6509 5.6509 5.6509
angles (deg): 60.00 60.00 60.00
With the nearest neighbours (Å) after each atom.
Atoms (fractional coordinates):
Ba 0.0000 0.0000 0.0000  4 Te 3.46, 4 Ba 3.46
Ba 0.7500 0.7500 0.7500  4 Mn 3.46, 4 Ba 3.46
Mn 0.5000 0.5000 0.5000  4 Ba 3.46, 4 Te 3.46
Te 0.2500 0.2500 0.2500  4 Mn 3.46, 4 Ba 3.46

Results
magnetization = 0.7780 μB per atom
total DFT energy (no corrections) = -33.83 eV per atom
E_form (uncorrected) = -0.176 eV per atom

***

First-principles (SCAN) data for a crystal of LiPbSe2 relaxed with PBEsol, as listed in Alexandria.

a b c (Å): 4.1000 4.1000 5.5909
angles (deg): 90.00 90.00 90.00
With the nearest neighbours (Å) after each atom.
Atoms (fractional coordinates):
Pb 0.5000 0.5000 0.5000  6 Se 2.80-2.90
Se 0.0000 0.0000 0.5000  2 Li 2.80, 4 Pb 2.90
Se 0.5000 0.5000 0.0000  2 Pb 2.80, 4 Li 2.90
Li 0.0000 0.0000 0.0000  6 Se 2.80-2.90

Results
magnetization = 0.0000 μB per atom
total DFT energy (no corrections) = -30.24 eV per atom
E_form (uncorrected) = -0.661 eV per atom

***

First-principles (SCAN) data for a crystal of Ti5P3 relaxed with PBEsol, as listed in Alexandria.

a b c (Å): 6.4253 7.3628 9.6339
angles (deg): 90.00 90.00 90.00
With the nearest neighbours (Å) after each atom.
Atoms (fractional coordinates):
Ti 0.1935 0.4534 0.0706  3 P 2.36-2.60
Ti 0.3065 0.0466 0.5706  3 P 2.36-2.60
Ti 0.8065 0.9534 0.9294  3 P 2.36-2.60
Ti 0.6935 0.5466 0.4294  3 P 2.36-2.60
Ti 0.8065 0.5466 0.9294  3 P 2.36-2.60
Ti 0.6935 0.9534 0.4294  3 P 2.36-2.60
Ti 0.1935 0.0466 0.0706  3 P 2.36-2.60
Ti 0.3065 0.4534 0.5706  3 P 2.36-2.60
Ti 0.8396 0.2500 0.2251  5 P 2.37-2.62
Ti 0.6604 0.2500 0.7251  5 P 2.37-2.62
Ti 0.1604 0.7500 0.7749  5 P 2.37-2.62
Ti 0.3396 0.7500 0.2749  5 P 2.37-2.62
Ti 0.5288 0.2500 0.0007  5 P 2.51-2.55, 3 Ti 2.71-2.79
Ti 0.9712 0.2500 0.5007  5 P 2.51-2.55, 3 Ti 2.71-2.79
Ti 0.4712 0.7500 0.9993  5 P 2.51-2.55, 3 Ti 2.71-2.79
Ti 0.0288 0.7500 0.4993  5 P 2.51-2.55, 3 Ti 2.71-2.79
Ti 0.3533 0.2500 0.2922  5 P 2.36-2.63
Ti 0.1467 0.2500 0.7922  5 P 2.36-2.63
Ti 0.6467 0.7500 0.7078  5 P 2.36-2.63
Ti 0.8533 0.7500 0.2078  5 P 2.36-2.63
P 0.5807 0.2500 0.4850  7 Ti 2.36-2.51
P 0.9193 0.2500 0.9850  7 Ti 2.36-2.51
P 0.4193 0.7500 0.5150  7 Ti 2.36-2.51
P 0.0807 0.7500 0.0150  7 Ti 2.36-2.51
P 0.0710 0.4906 0.3263  9 Ti 2.51-2.81
P 0.4290 0.0094 0.8263  9 Ti 2.51-2.81
P 0.9290 0.9906 0.6737  9 Ti 2.51-2.81
P 0.5710 0.5094 0.1737  9 Ti 2.51-2.81
P 0.9290 0.5094 0.6737  9 Ti 2.51-2.81
P 0.5710 0.9906 0.1737  9 Ti 2.51-2.81
P 0.0710 0.0094 0.3263  9 Ti 2.51-2.81
P 0.4290 0.4906 0.8263  9 Ti 2.51-2.81

Results
formation enthalpy at 0 K = -1.21 eV/atom
magnetization = 0.0000 μB per atom
total DFT energy (no corrections) = -15.13 eV per atom

***

First-principles (SCAN) data for a crystal of Zn2RuSe relaxed with PBEsol, as listed in Alexandria.

a b c (Å): 3.0845 4.2341 4.5119
angles (deg): 90.00 90.00 90.00
With the nearest neighbours (Å) after each atom.
Atoms (fractional coordinates):
Ru 0.5000 0.0000 0.5260  2 Se 2.48, 8 Zn 2.73-2.75
Se 0.5000 0.5000 0.2381  2 Ru 2.48, 2 Zn 2.62
Zn 0.0000 0.0000 0.0272  2 Zn 2.56, 4 Ru 2.73-2.74, 4 Se 2.79
Zn 0.0000 0.5000 0.7087  2 Zn 2.56, 4 Se 2.62-2.84, 4 Ru 2.75

Results
magnetization = 0.0000 μB per atom
total DFT energy (no corrections) = -20.41 eV per atom
E_form (uncorrected) = 0.078 eV per atom

***

First-principles (SCAN) data for a crystal of Ca2LaMn relaxed with PBEsol, as listed in Alexandria.

a b c (Å): 3.6137 5.4305 6.9789
angles (deg): 112.90 105.00 90.00
With the nearest neighbours (Å) after each atom.
Atoms (fractional coordinates):
Ca 0.7005 0.7005 0.4009  2 Mn 3.06
Ca 0.2995 0.2995 0.5991  2 Mn 3.06
Mn 0.0000 0.5000 0.0000  4 Ca 3.06, 4 La 3.26
La 0.5000 0.0000 0.0000  4 Mn 3.26, 2 La 3.61

Results
formation enthalpy at 0 K = 0.13 eV/atom
magnetization = 0.8535 μB per atom
total DFT energy (no corrections) = -20.04 eV per atom

***

First-principles (SCAN) data for a crystal of TePd2N relaxed with PBEsol, as listed in Alexandria.

a b c (Å): 4.8741 4.8741 6.8700
angles (deg): 110.78 110.78 90.00
With the nearest neighbours (Å) after each atom.
Atoms (fractional coordinates):
Te 0.2500 0.7500 0.5000  4 Pd 2.69
Te 0.0000 0.0000 0.0000  4 Pd 2.69
Pd 0.5124 0.8750 0.2500  2 N 2.00
Pd 0.7376 0.3750 0.2500  2 N 2.00
Pd 0.1250 0.2624 0.7500  2 N 2.00
Pd 0.6250 0.4876 0.7500  2 N 2.00
N 0.7500 0.2500 0.5000  4 Pd 2.00
N 0.5000 0.5000 0.0000  4 Pd 2.00

Results
magnetization = 0.0000 μB per atom
total DFT energy (no corrections) = -27.75 eV per atom
E_form (uncorrected) = 0.272 eV per atom

***

Repeat the first record exactly.
First-principles (SCAN) data for a crystal of Ca2TaTlCo relaxed with PBEsol, as listed in Alexandria.

a b c (Å): 5.2659 5.5193 5.5193
angles (deg): 90.00 90.00 90.00
With the nearest neighbours (Å) after each atom.
Atoms (fractional coordinates):
Tl 0.5000 0.0000 0.0000  2 Ta 2.63
Co 0.5000 0.5000 0.5000  8 Ca 3.81, 4 Tl 3.90
Ca 0.0000 0.0000 0.5000  2 Ta 2.76
Ca 0.0000 0.5000 0.0000  2 Ta 2.76
Ta 0.0000 0.0000 0.0000  2 Tl 2.63, 4 Ca 2.76

Results
formation enthalpy at 0 K = 1.34 eV/atom
magnetization = 0.7562 μB per atom
total DFT energy (no corrections) = -33.77 eV per atom

***

Question: Which of these has the highest total DFT energy (no corrections)?
Answer: Ti5P3

***

Please write out number 7 again, unchanged.
First-principles (SCAN) data for a crystal of Ca2LaMn relaxed with PBEsol, as listed in Alexandria.

a b c (Å): 3.6137 5.4305 6.9789
angles (deg): 112.90 105.00 90.00
With the nearest neighbours (Å) after each atom.
Atoms (fractional coordinates):
Ca 0.7005 0.7005 0.4009  2 Mn 3.06
Ca 0.2995 0.2995 0.5991  2 Mn 3.06
Mn 0.0000 0.5000 0.0000  4 Ca 3.06, 4 La 3.26
La 0.5000 0.0000 0.0000  4 Mn 3.26, 2 La 3.61

Results
formation enthalpy at 0 K = 0.13 eV/atom
magnetization = 0.8535 μB per atom
total DFT energy (no corrections) = -20.04 eV per atom

***

What did the sixth record say?
First-principles (SCAN) data for a crystal of Zn2RuSe relaxed with PBEsol, as listed in Alexandria.

a b c (Å): 3.0845 4.2341 4.5119
angles (deg): 90.00 90.00 90.00
With the nearest neighbours (Å) after each atom.
Atoms (fractional coordinates):
Ru 0.5000 0.0000 0.5260  2 Se 2.48, 8 Zn 2.73-2.75
Se 0.5000 0.5000 0.2381  2 Ru 2.48, 2 Zn 2.62
Zn 0.0000 0.0000 0.0272  2 Zn 2.56, 4 Ru 2.73-2.74, 4 Se 2.79
Zn 0.0000 0.5000 0.7087  2 Zn 2.56, 4 Se 2.62-2.84, 4 Ru 2.75

Results
magnetization = 0.0000 μB per atom
total DFT energy (no corrections) = -20.41 eV per atom
E_form (uncorrected) = 0.078 eV per atom